1.
A relaxed ZrTeOs2F crystal, computed with PBE.

Space-group type   P4/mmm (123)
Magnetization   0.00 μB per formula unit
Final energy   -6.5317 eV/atom

```
data_ZrTeOs2F
_chemical_formula_sum 'Zr1 Te1 Os2 F1'
_cell_length_a 4.5246
_cell_length_b 4.2293
_cell_length_c 4.5246
_cell_angle_alpha 90.00
_cell_angle_beta 90.00
_cell_angle_gamma 90.00
_space_group_name_H-M_alt 'P 1'
_space_group_IT_number 1
loop_
_space_group_symop_operation_xyz
'x,y,z'
loop_
_atom_site_label
_atom_site_type_symbol
_atom_site_fract_x
_atom_site_fract_y
_atom_site_fract_z
F1 F 0.0000 0.0000 0.0000
Os1 Os 0.5000 0.0000 0.0000
Os2 Os 0.0000 0.0000 0.5000
Zr1 Zr 0.0000 0.5000 0.0000
Te1 Te 0.5000 0.5000 0.5000
```


2.
A relaxed Ho2ZnHg4 crystal, computed with PBE.

E_form   -0.2688 eV/atom
Space-group type   C2/m (12)
Magnetization   0.00 μB per formula unit
Final energy   -1.9312 eV/atom

```
data_Ho2ZnHg4
_chemical_formula_sum 'Ho2 Zn1 Hg4'
_cell_length_a 5.1631
_cell_length_b 5.1631
_cell_length_c 8.1598
_cell_angle_alpha 65.02
_cell_angle_beta 65.02
_cell_angle_gamma 61.58
_space_group_name_H-M_alt 'P 1'
_space_group_IT_number 1
loop_
_space_group_symop_operation_xyz
'x,y,z'
loop_
_atom_site_label
_atom_site_type_symbol
_atom_site_fract_x
_atom_site_fract_y
_atom_site_fract_z
Ho1 Ho 0.7450 0.7450 0.8175
Ho2 Ho 0.2550 0.2550 0.1825
Hg1 Hg 0.4355 0.4355 0.7497
Hg2 Hg 0.1604 0.1604 0.6091
Hg3 Hg 0.8396 0.8396 0.3909
Hg4 Hg 0.5645 0.5645 0.2503
Zn1 Zn 0.0000 0.0000 0.0000
```


3.
A relaxed Sr2Zn3Ag4Pb crystal, computed with PBE.

E_form   -0.1994 eV/atom
Space-group type   P-4m2 (115)
Magnetization   0.00 μB per formula unit
Final energy   -2.4293 eV/atom

```
data_Sr2Zn3Ag4Pb
_chemical_formula_sum 'Sr2 Zn3 Ag4 Pb1'
_cell_length_a 4.5494
_cell_length_b 4.5494
_cell_length_c 11.4904
_cell_angle_alpha 90.00
_cell_angle_beta 90.00
_cell_angle_gamma 90.00
_space_group_name_H-M_alt 'P 1'
_space_group_IT_number 1
loop_
_space_group_symop_operation_xyz
'x,y,z'
loop_
_atom_site_label
_atom_site_type_symbol
_atom_site_fract_x
_atom_site_fract_y
_atom_site_fract_z
Zn1 Zn 0.0000 0.0000 0.5000
Zn2 Zn 0.5000 0.0000 0.8801
Zn3 Zn 0.0000 0.5000 0.1199
Sr1 Sr 0.5000 0.0000 0.2393
Sr2 Sr 0.0000 0.5000 0.7607
Ag1 Ag 0.0000 0.5000 0.3454
Ag2 Ag 0.5000 0.5000 0.0000
Ag3 Ag 0.5000 0.0000 0.6546
Ag4 Ag 0.0000 0.0000 0.0000
Pb1 Pb 0.5000 0.5000 0.5000
```


Please write out number 2 again, unchanged.
A relaxed Ho2ZnHg4 crystal, computed with PBE.

E_form   -0.2688 eV/atom
Space-group type   C2/m (12)
Magnetization   0.00 μB per formula unit
Final energy   -1.9312 eV/atom

```
data_Ho2ZnHg4
_chemical_formula_sum 'Ho2 Zn1 Hg4'
_cell_length_a 5.1631
_cell_length_b 5.1631
_cell_length_c 8.1598
_cell_angle_alpha 65.02
_cell_angle_beta 65.02
_cell_angle_gamma 61.58
_space_group_name_H-M_alt 'P 1'
_space_group_IT_number 1
loop_
_space_group_symop_operation_xyz
'x,y,z'
loop_
_atom_site_label
_atom_site_type_symbol
_atom_site_fract_x
_atom_site_fract_y
_atom_site_fract_z
Ho1 Ho 0.7450 0.7450 0.8175
Ho2 Ho 0.2550 0.2550 0.1825
Hg1 Hg 0.4355 0.4355 0.7497
Hg2 Hg 0.1604 0.1604 0.6091
Hg3 Hg 0.8396 0.8396 0.3909
Hg4 Hg 0.5645 0.5645 0.2503
Zn1 Zn 0.0000 0.0000 0.0000
```